# 1
The following is a PBE calculation of crystalline CrMoW2 at its relaxed geometry, from Alexandria.

a = 3.0740 Å, b = 4.3471 Å, c = 9.3142 Å
α = 89.98°, β = 99.43°, γ = 90.00°
Fractional positions:
W1 0.1686 0.2501 0.3391
Mo1 0.6847 0.7501 0.3711
W2 0.0574 0.7504 0.1153
W3 0.8314 0.7498 0.6609
Cr1 0.4439 0.7494 0.8872
Mo2 0.3153 0.2499 0.6289
W4 0.9426 0.2496 0.8847
Cr2 0.5561 0.2506 0.1128

Output
E_tot = -90.189 eV for the cell shown
Space group = No. 2
E above lowest polymorph = 285 meV per atom
ΔE_f = 317 meV/atom

=====

# 2
The following is a PBE calculation of crystalline CrMo2W at its relaxed geometry, from Alexandria.

a = 8.3486 Å, b = 8.3486 Å, c = 8.3486 Å
α = 20.30°, β = 20.30°, γ = 20.30°
Fractional positions:
Mo1 0.4952 0.4952 0.4952
Cr1 0.7500 0.7500 0.7500
W1 0.2500 0.2500 0.2500
Mo2 0.0048 0.0048 0.0048

Output
E_tot = -42.632 eV for the cell shown
Space group = No. 166
E above lowest polymorph = 362 meV per atom
ΔE_f = 402 meV/atom

=====

# 3
The following is a PBE calculation of crystalline Cr2Mo3W4 at its relaxed geometry, from Alexandria.

a = 5.3338 Å, b = 6.5088 Å, c = 9.1150 Å
α = 86.05°, β = 108.28°, γ = 72.44°
Fractional positions:
W1 0.8226 0.2320 0.9700
Cr1 0.1120 0.3917 0.1713
Mo1 0.6799 0.7757 0.0338
W2 0.3199 0.5176 0.7384
Mo2 0.7540 0.3861 0.6358
Cr2 0.3710 0.8417 0.5534
Mo3 0.1267 0.9623 0.7466
Cr3 0.6290 0.1583 0.4466
W3 0.3810 0.9796 0.2497
Mo4 0.3201 0.2243 0.9662
W4 0.6801 0.4824 0.2616
Mo5 0.2460 0.6139 0.3642
W5 0.6190 0.0204 0.7503
W6 0.1774 0.7680 0.0300
Cr4 0.8880 0.6083 0.8287
W7 0.8444 0.7333 0.5035
W8 0.1556 0.2667 0.4965
Mo6 0.8733 0.0377 0.2534

Output
E_tot = -200.246 eV for the cell shown
Space group = No. 2
ΔE_f = 381 meV/atom

=====

The lowest E_tot belongs to which entry?
Cr2Mo3W4